(1)
A plane-wave DFT calculation with PBE-GGA was carried out for a geometry-optimized Pr5Dy4 structure.

## Properties
- calculated formation energy (eV/atom) = 0.0174
- Fermi-level density of states (states/eV/cell) = 12.9

a = 5.1293 Å, b = 8.1423 Å, c = 8.1423 Å
α = 84.27°, β = 71.60°, γ = 71.60°
Positions (direct):
Pr 0.0000 0.3359 0.6641
Dy 0.3333 0.6667 0.6667
Pr 0.3308 0.3361 0.0028
Dy 0.6667 0.3333 0.3333
Pr 0.0000 0.9974 0.0026
Dy 0.6667 0.6666 0.9999
Pr 0.0000 0.6667 0.3333
Dy 0.3333 0.0001 0.3334
Pr 0.6692 0.9972 0.6639


(2)
A plane-wave DFT calculation with PBE-GGA was carried out for a geometry-optimized CsAg3Cl4 structure.

## Properties
- offset from the most stable computed form (meV/atom) = 0.0

a = 4.7553 Å, b = 7.5553 Å, c = 8.4279 Å
α = 116.63°, β = 90.00°, γ = 90.00°
Positions (direct):
Ag 0.0000 0.7524 0.5049
Ag 0.0000 0.2476 0.4951
Ag 0.0000 0.5000 0.0000
Cl 0.0000 0.1290 0.7469
Cs 0.5000 0.0000 0.0000
Cl 0.0000 0.8710 0.2531
Cl 0.0000 0.6179 0.7469
Cl 0.0000 0.3821 0.2531


(3)
A plane-wave DFT calculation with PBE-GGA was carried out for a geometry-optimized Rb2Ho2PaTe6 structure.

## Properties
- Fermi-level density of states (states/eV/cell) = 2.2

a = 7.6899 Å, b = 7.6899 Å, c = 9.1733 Å
α = 98.08°, β = 98.08°, γ = 119.98°
Last column: magnetic moment on the atom in μB.
Positions (direct):
Pa 0.0000 0.0000 0.5000  1.06
Te 0.3997 0.0680 0.6978  -0.01
Te 0.7309 0.7309 0.6966  -0.01
Te 0.2691 0.2691 0.3034  -0.01
Ho 0.3326 0.6674 0.5000  0.01
Te 0.0680 0.3997 0.6978  -0.01
Rb 0.8335 0.1665 0.0000  0.00
Rb 0.1665 0.8335 0.0000  0.00
Te 0.6003 0.9320 0.3022  -0.01
Ho 0.6674 0.3326 0.5000  0.01
Te 0.9320 0.6003 0.3022  -0.01


(4)
A plane-wave DFT calculation with PBE-GGA was carried out for a geometry-optimized Ta2MnTc structure.

## Properties
- calculated formation energy (eV/atom) = -0.0618
- Fermi-level density of states (states/eV/cell) = 3.0

a = 4.2681 Å, b = 2.8027 Å, c = 5.2873 Å
α = 81.31°, β = 90.00°, γ = 90.00°
Last column: magnetic moment on the atom in μB.
Positions (direct):
Tc 0.5000 0.2500 0.2500  -0.02
Ta 0.0000 0.0003 0.9969  -0.16
Mn 0.5000 0.7500 0.7500  1.43
Ta 0.0000 0.4997 0.5031  -0.16


(5)
A plane-wave DFT calculation with PBE-GGA was carried out for a geometry-optimized NbSb2IBr structure.

## Properties
- offset from the most stable computed form (meV/atom) = 1208.6
- Fermi-level density of states (states/eV/cell) = 4.4

a = 5.4763 Å, b = 5.4763 Å, c = 5.5230 Å
α = 90.00°, β = 90.00°, γ = 90.00°
Last column: magnetic moment on the atom in μB.
Positions (direct):
Br 0.0000 0.0000 0.0000  -0.01
I 0.0000 0.0000 0.5000  -0.10
Sb 0.0000 0.5000 0.0000  -0.20
Nb 0.5000 0.5000 0.5000  2.50
Sb 0.5000 0.0000 0.0000  -0.20


(6)
A plane-wave DFT calculation with PBE-GGA was carried out for a geometry-optimized SbAsCl2 structure.

## Properties
- offset from the most stable computed form (meV/atom) = 625.7
- Fermi-level density of states (states/eV/cell) = 2.0

a = 5.5572 Å, b = 5.5572 Å, c = 5.5572 Å
α = 133.79°, β = 133.79°, γ = 67.42°
Positions (direct):
Cl 0.0000 0.0000 0.0000
Cl 0.5000 0.5000 0.0000
As 0.7500 0.2500 0.5000
Sb 0.2500 0.7500 0.5000


Computed values of total energy (unit: eV per atom) for the preceding records, in sequence: -4.68 -2.88 -4.82 -10.87 -2.94 -2.93.